Compound: Pr3Y3Th2
Source: Alexandria via LeMat-Bulk
Functional: PBE
Structure: relaxed

Properties
Fermi-level density of states = 9.9 states/eV/f.u.
magnetization = 0.00 μB/atom
total energy = -96.6 eV for the cell shown
formation energy from the elements = 0.0341 eV per atom

CIF file:
```
data_Pr3Y3Th2
_symmetry_space_group_name_H-M 'I m m m'
_symmetry_Int_Tables_number 71
_symmetry_space_group_name_Hall '-I 2 2'
_cell_length_a 5.0969
_cell_length_b 5.1199
_cell_length_c 20.7299
_cell_angle_alpha 90.00
_cell_angle_beta 90.00
_cell_angle_gamma 90.00
loop_
_atom_site_label
_atom_site_fract_x
_atom_site_fract_y
_atom_site_fract_z
Pr1 0.0000 0.0000 0.0000
Pr2 0.0000 0.5000 0.1295
Y1 0.0000 0.0000 0.5000
Y2 0.0000 0.5000 0.3714
Th1 0.0000 0.0000 0.2497
```